# 1
VASP calculation (PBE-GGA) on a relaxed CoTcIr2 crystal.

Results
**Symmetry**: I-4m2, No. 119
**E above lowest polymorph**: 54.5 meV per atom
**ΔE_f**: -33 meV/atom
**Total magnetization**: 0.1384 μB per atom
**DOS at the Fermi energy**: 5.5 states/eV/f.u.

Unit cell a=4.662 b=4.662 c=4.662 alpha=132.34 beta=132.34 gamma=69.70
Each line ends with the local moment (μB).
Atoms (fractional coordinates):
Co: 0.750 0.250 0.500  0.41
Tc: 0.500 0.500 0.000  0.05
Ir: 0.000 0.000 0.000  0.08
Ir: 0.250 0.750 0.500  0.02

***

# 2
VASP calculation (PBE-GGA) on a relaxed Ca4ErMg5 crystal.

Results
**Symmetry**: P4/mmm, No. 123
**ΔE_f**: -73 meV/atom
**Total magnetization**: 0.0125 μB per atom
**DOS at the Fermi energy**: 10.7 states/eV/f.u.

Unit cell a=3.903 b=3.903 c=19.815 alpha=90.00 beta=90.00 gamma=90.00
Each line ends with the local moment (μB).
Atoms (fractional coordinates):
Mg: 0.500 0.500 0.910  0.00
Mg: 0.500 0.500 0.090  0.00
Mg: 0.500 0.500 0.296  0.00
Mg: 0.500 0.500 0.704  0.00
Mg: 0.500 0.500 0.500  0.00
Ca: 0.000 0.000 0.807  0.00
Ca: 0.000 0.000 0.398  0.00
Ca: 0.000 0.000 0.193  0.00
Ca: 0.000 0.000 0.602  0.00
Er: 0.000 0.000 0.000  0.07

***

# 3
VASP calculation (PBE-GGA) on a relaxed Hg2TeI crystal.

Results
**Symmetry**: P3_121, No. 152
**E above lowest polymorph**: 79.5 meV per atom
**Total magnetization**: 0.0000 μB per atom
**DOS at the Fermi energy**: 2.0 states/eV/f.u.
**E_form (uncorrected)**: -0.088 eV/atom

Unit cell a=7.287 b=7.287 c=9.392 alpha=90.00 beta=90.00 gamma=119.99
Atoms (fractional coordinates):
Hg: 0.533 0.124 0.129
Hg: 0.591 0.467 0.796
Hg: 0.124 0.533 0.871
Hg: 0.467 0.591 0.204
Hg: 0.409 0.876 0.538
Hg: 0.876 0.409 0.462
I: 0.000 0.660 0.167
I: 0.340 0.340 0.500
I: 0.660 0.000 0.833
Te: 0.000 0.740 0.667
Te: 0.260 0.260 0.000
Te: 0.740 0.000 0.333

***

# 4
VASP calculation (PBE-GGA) on a relaxed DyZn4Ru crystal.

Results
**Symmetry**: F-43m, No. 216
**ΔE_f**: -290 meV/atom
**Total magnetization**: 0.0000 μB per atom
**DOS at the Fermi energy**: 3.8 states/eV/f.u.

Unit cell a=5.123 b=5.123 c=5.123 alpha=60.00 beta=60.00 gamma=60.00
Atoms (fractional coordinates):
Dy: 0.250 0.250 0.250
Ru: 0.000 0.000 0.000
Zn: 0.121 0.626 0.626
Zn: 0.626 0.626 0.121
Zn: 0.626 0.626 0.626
Zn: 0.626 0.121 0.626

***

# 5
VASP calculation (PBE-GGA) on a relaxed NbHgOF2 crystal.

Results
**Symmetry**: P4/mmm, No. 123
**E above lowest polymorph**: 0.0 meV per atom
**Total magnetization**: 0.2007 μB per atom
**DOS at the Fermi energy**: 1.8 states/eV/f.u.
**E_form (uncorrected)**: -1.846 eV/atom

Unit cell a=4.391 b=4.391 c=3.957 alpha=90.00 beta=90.00 gamma=90.00
Each line ends with the local moment (μB).
Atoms (fractional coordinates):
F: 0.500 0.000 0.000  0.01
F: 0.000 0.500 0.000  0.01
O: 0.000 0.000 0.500  -0.08
Nb: 0.000 0.000 0.000  0.98
Hg: 0.500 0.500 0.500  -0.01

***

# 6
VASP calculation (PBE-GGA) on a relaxed NaTa2S crystal.

Results
**Symmetry**: I-42d, No. 122
**Total magnetization**: 0.0000 μB per atom
**DOS at the Fermi energy**: 4.0 states/eV/f.u.
**E_form (uncorrected)**: 0.552 eV/atom

Unit cell a=3.859 b=3.859 c=10.421 alpha=79.33 beta=79.33 gamma=90.00
Atoms (fractional coordinates):
Na: 0.500 0.500 0.000
Na: 0.250 0.750 0.500
S: 0.000 0.000 0.000
S: 0.750 0.250 0.500
Ta: 0.375 0.890 0.750
Ta: 0.640 0.625 0.250
Ta: 0.110 0.125 0.250
Ta: 0.875 0.360 0.750

***

# 7
VASP calculation (PBE-GGA) on a relaxed H2PbCl crystal.

Results
**Symmetry**: Fm-3m, No. 225
**E above lowest polymorph**: 650.5 meV per atom
**Total magnetization**: 0.2473 μB per atom
**DOS at the Fermi energy**: 0.7 states/eV/f.u.

Unit cell a=4.424 b=4.424 c=4.424 alpha=60.00 beta=60.00 gamma=60.00
Each line ends with the local moment (μB).
Atoms (fractional coordinates):
Pb: 0.500 0.500 0.500  -0.01
Cl: 0.000 0.000 0.000  0.26
H: 0.750 0.750 0.750  0.16
H: 0.250 0.250 0.250  0.16

***

# 8
VASP calculation (PBE-GGA) on a relaxed Re2MoHIr crystal.

Results
**Symmetry**: P4/mmm, No. 123
**E above lowest polymorph**: 27.4 meV per atom
**Total magnetization**: 0.0000 μB per atom
**DOS at the Fermi energy**: 2.8 states/eV/f.u.

Unit cell a=3.976 b=3.976 c=3.931 alpha=90.00 beta=90.00 gamma=90.00
Atoms (fractional coordinates):
Re: 0.500 0.000 0.000
Re: 0.000 0.500 0.000
H: 0.000 0.000 0.000
Mo: 0.500 0.500 0.500
Ir: 0.000 0.000 0.500

***

# 9
VASP calculation (PBE-GGA) on a relaxed Hg2Au2Se crystal.

Results
**Symmetry**: P4/mbm, No. 127
**E above lowest polymorph**: 83.5 meV per atom
**Total magnetization**: 0.0283 μB per atom
**DOS at the Fermi energy**: 2.7 states/eV/f.u.
**E_form (uncorrected)**: 0.175 eV/atom

Unit cell a=8.966 b=8.966 c=2.815 alpha=90.00 beta=90.00 gamma=90.00
Each line ends with the local moment (μB).
Atoms (fractional coordinates):
Hg: 0.309 0.191 0.000  0.00
Hg: 0.691 0.809 0.000  0.00
Hg: 0.191 0.691 0.000  0.00
Hg: 0.809 0.309 0.000  0.00
Au: 0.609 0.109 0.500  0.00
Au: 0.891 0.609 0.500  0.00
Au: 0.391 0.891 0.500  0.00
Au: 0.109 0.391 0.500  0.00
Se: 0.000 0.000 0.000  0.09
Se: 0.500 0.500 0.000  0.09

***

# 10
VASP calculation (PBE-GGA) on a relaxed AcSnAs2 crystal.

Results
**Symmetry**: P4/mmm, No. 123
**E above lowest polymorph**: 0.0 meV per atom
**ΔE_f**: -621 meV/atom
**Total magnetization**: 0.0000 μB per atom
**DOS at the Fermi energy**: 2.7 states/eV/f.u.

Unit cell a=4.065 b=5.049 c=5.049 alpha=90.00 beta=90.00 gamma=90.00
Atoms (fractional coordinates):
As: 0.000 0.000 0.500
As: 0.000 0.500 0.000
Ac: 0.500 0.500 0.500
Sn: 0.500 0.000 0.000

***

# 11
VASP calculation (PBE-GGA) on a relaxed GeH3Pd5 crystal.

Results
**Symmetry**: C2/m, No. 12
**Calculated total energy**: -41.70 eV/f.u.
**Total magnetization**: 0.0000 μB per atom
**DOS at the Fermi energy**: 2.5 states/eV/f.u.

Unit cell a=5.692 b=5.692 c=9.293 alpha=57.79 beta=57.79 gamma=61.70
Atoms (fractional coordinates):
H: 0.621 0.621 0.232
H: 0.379 0.379 0.768
H: 0.000 0.000 0.000
H: 0.303 0.303 0.177
H: 0.697 0.697 0.823
H: 0.000 0.000 0.500
Ge: 0.901 0.901 0.303
Ge: 0.099 0.099 0.697
Pd: 0.621 0.621 0.630
Pd: 0.405 0.909 0.327
Pd: 0.909 0.405 0.327
Pd: 0.224 0.224 0.023
Pd: 0.595 0.091 0.673
Pd: 0.723 0.277 0.000
Pd: 0.277 0.723 0.000
Pd: 0.091 0.595 0.673
Pd: 0.379 0.379 0.370
Pd: 0.776 0.776 0.977

***

What is the DOS at the Fermi energy in the tenth record? 2.7 states/eV/f.u.